(1)
Compound: YNiCl2
Source: the Alexandria database
Functional: PBE
Structure: relaxed

a b c (Å): 7.623 7.623 7.623
angles (deg): 148.14 151.45 43.30
Atoms (fractional coordinates):
1 Ni 0.750 0.250 0.500
2 Cl 0.615 0.615 0.000
3 Y 0.250 0.750 0.500
4 Cl 0.885 0.885 0.000

Results
Space group   Immm, No. 71
Uncorrected formation energy   -0.904 eV/atom
Calculated total energy   -4.888 eV/atom

---

(2)
Compound: YNiCl2
Source: the Alexandria database
Functional: PBE
Structure: relaxed

a b c (Å): 3.546 3.546 8.055
angles (deg): 90.00 90.00 108.48
Atoms (fractional coordinates):
1 Cl 0.500 0.500 0.368
2 Cl 0.000 0.000 0.933
3 Y 0.500 0.500 0.710
4 Ni 0.000 0.000 0.490

Results
Space group   Cmm2, No. 35
Uncorrected formation energy   -0.902 eV/atom
Calculated total energy   -4.887 eV/atom

---

(3)
Compound: YNiCl2
Source: the Alexandria database
Functional: PBE
Structure: relaxed

a b c (Å): 5.515 5.515 5.515
angles (deg): 138.08 138.08 60.79
Atoms (fractional coordinates):
1 Ni 0.500 0.500 0.000
2 Y 0.750 0.250 0.500
3 Cl 0.000 0.000 0.000
4 Cl 0.250 0.750 0.500

Results
Space group   I-4m2, No. 119
Uncorrected formation energy   -0.674 eV/atom
Calculated total energy   -4.659 eV/atom

---

(4)
Compound: YNiCl2
Source: the Alexandria database
Functional: PBE
Structure: relaxed

a b c (Å): 3.698 3.698 7.759
angles (deg): 90.00 90.00 125.13
Site moments in Bohr magnetons follow the coordinates.
Atoms (fractional coordinates):
1 Cl 0.000 0.000 0.040  0.03
2 Y 0.500 0.500 0.750  0.03
3 Cl 0.000 0.000 0.460  0.03
4 Ni 0.500 0.500 0.250  0.64

Results
Space group   Cmmm, No. 65
Uncorrected formation energy   -0.550 eV/atom
Calculated total energy   -4.535 eV/atom

---

(5)
Compound: YNi2Cl
Source: the Alexandria database
Functional: PBE
Structure: relaxed

a b c (Å): 7.446 7.446 7.446
angles (deg): 26.65 26.65 26.65
Atoms (fractional coordinates):
1 Cl 0.750 0.750 0.750
2 Ni 0.493 0.493 0.493
3 Ni 0.007 0.007 0.007
4 Y 0.250 0.250 0.250

Results
Space group   R-3m, No. 166
Uncorrected formation energy   0.122 eV/atom
Calculated total energy   -4.847 eV/atom

---

(6)
Compound: ZnNi2Cl
Source: the Alexandria database
Functional: PBE
Structure: relaxed

a b c (Å): 2.953 4.249 4.249
angles (deg): 90.00 90.00 90.00
Atoms (fractional coordinates):
1 Ni 0.000 0.000 0.000
2 Zn 0.500 0.500 0.000
3 Cl 0.500 0.000 0.500
4 Ni 0.000 0.500 0.500

Results
Space group   P4/mmm, No. 123
Uncorrected formation energy   0.324 eV/atom
Calculated total energy   -3.347 eV/atom

---

(7)
Compound: ZnNi2Cl
Source: the Alexandria database
Functional: PBE
Structure: relaxed

a b c (Å): 2.921 2.921 7.650
angles (deg): 90.00 90.00 120.08
Site moments in Bohr magnetons follow the coordinates.
Atoms (fractional coordinates):
1 Zn 0.500 0.500 0.250  -0.01
2 Ni 0.000 0.000 0.505  0.35
3 Cl 0.500 0.500 0.750  0.07
4 Ni 0.000 0.000 0.995  0.35

Results
Space group   Cmmm, No. 65
Uncorrected formation energy   0.219 eV/atom
Calculated total energy   -3.452 eV/atom

---

(8)
Compound: ZnNiCl2
Source: the Alexandria database
Functional: PBE
Structure: relaxed

a b c (Å): 5.677 5.677 6.599
angles (deg): 64.53 64.53 90.00
Site moments in Bohr magnetons follow the coordinates.
Atoms (fractional coordinates):
1 Ni 0.250 0.750 0.500  0.28
2 Zn 0.750 0.250 0.500  -0.03
3 Cl 0.163 0.625 0.250  0.00
4 Zn 0.000 0.000 0.000  -0.03
5 Cl 0.587 0.125 0.250  0.00
6 Cl 0.375 0.413 0.750  0.00
7 Cl 0.875 0.837 0.750  0.00
8 Ni 0.500 0.500 0.000  0.28

Results
Space group   I-42d, No. 122
Uncorrected formation energy   -0.123 eV/atom
Calculated total energy   -2.810 eV/atom

---

(9)
Compound: ZnNi2Cl
Source: the Alexandria database
Functional: PBE
Structure: relaxed

a b c (Å): 4.326 4.326 7.331
angles (deg): 53.14 53.14 39.09
Atoms (fractional coordinates):
1 Cl 0.250 0.250 0.250
2 Zn 0.750 0.750 0.750
3 Ni 0.567 0.567 0.584
4 Ni 0.933 0.933 0.916

Results
Space group   C2/m, No. 12
Uncorrected formation energy   -0.016 eV/atom
Calculated total energy   -3.687 eV/atom

---

(10)
Compound: ZnNi2Cl
Source: the Alexandria database
Functional: PBE
Structure: relaxed

a b c (Å): 4.240 4.240 4.240
angles (deg): 60.00 60.00 60.00
Site moments in Bohr magnetons follow the coordinates.
Atoms (fractional coordinates):
1 Cl 0.000 0.000 0.000  0.02
2 Ni 0.750 0.750 0.750  0.14
3 Zn 0.500 0.500 0.500  -0.01
4 Ni 0.250 0.250 0.250  0.14

Results
Space group   Fm-3m, No. 225
Uncorrected formation energy   0.391 eV/atom
Calculated total energy   -3.280 eV/atom

---

(11)
Compound: ZnNiCl2
Source: the Alexandria database
Functional: PBE
Structure: relaxed

a b c (Å): 6.873 6.873 6.873
angles (deg): 150.50 150.50 42.22
Site moments in Bohr magnetons follow the coordinates.
Atoms (fractional coordinates):
1 Cl 0.250 0.750 0.500  -0.01
2 Zn 0.750 0.250 0.500  0.00
3 Ni 0.500 0.500 0.000  0.70
4 Cl 0.000 0.000 0.000  0.05

Results
Space group   I-4m2, No. 119
Uncorrected formation energy   -0.008 eV/atom
Calculated total energy   -2.695 eV/atom

---

(12)
Compound: ZnNiCl2
Source: the Alexandria database
Functional: PBE
Structure: relaxed

a b c (Å): 3.850 3.850 9.024
angles (deg): 90.00 90.00 131.84
Atoms (fractional coordinates):
1 Cl 0.000 0.000 0.419
2 Ni 0.500 0.500 0.250
3 Cl 0.000 0.000 0.081
4 Zn 0.500 0.500 0.750

Results
Space group   Cmmm, No. 65
Uncorrected formation energy   -0.160 eV/atom
Calculated total energy   -2.848 eV/atom

---

(13)
Compound: ZnNi2Cl
Source: the Alexandria database
Functional: PBE
Structure: relaxed

a b c (Å): 4.288 4.288 4.288
angles (deg): 60.00 60.00 60.00
Site moments in Bohr magnetons follow the coordinates.
Atoms (fractional coordinates):
1 Ni 0.750 0.750 0.750  0.18
2 Ni 0.000 0.000 0.000  0.23
3 Zn 0.250 0.250 0.250  -0.01
4 Cl 0.500 0.500 0.500  0.00

Results
Space group   F-43m, No. 216
Uncorrected formation energy   0.491 eV/atom
Calculated total energy   -3.179 eV/atom

---

(14)
Compound: ZnNiCl2
Source: the Alexandria database
Functional: PBE
Structure: relaxed

a b c (Å): 7.824 7.824 7.824
angles (deg): 157.06 153.63 35.22
Site moments in Bohr magnetons follow the coordinates.
Atoms (fractional coordinates):
1 Cl 0.988 0.988 0.000  0.01
2 Zn 0.320 0.820 0.500  0.00
3 Ni 0.454 0.454 0.000  0.07
4 Cl 0.738 0.238 0.500  0.00

Results
Space group   Imm2, No. 44
Uncorrected formation energy   -0.202 eV/atom
Calculated total energy   -2.889 eV/atom

---

(15)
Compound: ZnNi2Cl
Source: the Alexandria database
Functional: PBE
Structure: relaxed

a b c (Å): 6.483 6.483 3.287
angles (deg): 88.82 88.82 26.48
Site moments in Bohr magnetons follow the coordinates.
Atoms (fractional coordinates):
1 Cl 0.200 0.200 0.029  0.09
2 Zn 0.438 0.438 0.490  -0.01
3 Ni 0.028 0.028 0.982  0.15
4 Ni 0.835 0.835 0.998  0.49

Results
Space group   Cm, No. 8
Uncorrected formation energy   -0.052 eV/atom
Calculated total energy   -3.723 eV/atom

---

(16)
Compound: ZnNiCl4
Source: the Alexandria database
Functional: PBE
Structure: relaxed

a b c (Å): 7.235 7.073 7.135
angles (deg): 60.28 59.53 90.00
Site moments in Bohr magnetons follow the coordinates.
Atoms (fractional coordinates):
1 Cl 0.239 0.248 0.022  0.06
2 Ni 0.000 0.000 0.500  1.38
3 Cl 0.231 0.255 0.491  0.14
4 Cl 0.761 0.752 0.978  0.06
5 Cl 0.778 0.255 0.491  0.14
6 Cl 0.222 0.745 0.509  0.14
7 Cl 0.769 0.745 0.509  0.14
8 Zn 0.000 0.500 0.000  -0.01
9 Cl 0.239 0.730 0.022  0.06
10 Zn 0.500 0.500 0.000  -0.01
11 Ni 0.000 0.500 0.500  1.38
12 Cl 0.761 0.270 0.978  0.06

Results
Space group   Imma, No. 74
Uncorrected formation energy   -0.818 eV/atom
Calculated total energy   -3.225 eV/atom

---

(17)
Compound: ZnNiCl2
Source: the Alexandria database
Functional: PBE
Structure: relaxed

a b c (Å): 4.578 4.578 3.225
angles (deg): 90.00 90.00 90.00
Site moments in Bohr magnetons follow the coordinates.
Atoms (fractional coordinates):
1 Cl 0.000 0.000 0.000  0.04
2 Cl 0.500 0.500 0.000  0.04
3 Ni 0.500 0.000 0.500  0.74
4 Zn 0.000 0.500 0.500  0.05

Results
Space group   P4/mmm, No. 123
Uncorrected formation energy   0.206 eV/atom
Calculated total energy   -2.481 eV/atom

---

(18)
Compound: ZnNiCl2
Source: the Alexandria database
Functional: PBE
Structure: relaxed

a b c (Å): 3.391 3.555 7.059
angles (deg): 80.21 90.00 90.00
Site moments in Bohr magnetons follow the coordinates.
Atoms (fractional coordinates):
1 Cl 0.500 0.390 0.356  0.03
2 Cl 0.000 0.046 0.889  0.00
3 Ni 0.000 0.298 0.581  0.16
4 Zn 0.500 0.766 0.674  -0.01

Results
Space group   Pm, No. 6
Uncorrected formation energy   -0.362 eV/atom
Calculated total energy   -3.049 eV/atom

---

(19)
Compound: Zn4NiCl
Source: the Alexandria database
Functional: PBE
Structure: relaxed

a b c (Å): 5.173 5.173 5.173
angles (deg): 60.00 60.00 60.00
Atoms (fractional coordinates):
1 Zn 0.374 0.878 0.374
2 Zn 0.374 0.374 0.878
3 Cl 0.750 0.750 0.750
4 Zn 0.878 0.374 0.374
5 Ni 0.000 0.000 0.000
6 Zn 0.374 0.374 0.374

Results
Space group   F-43m, No. 216
Uncorrected formation energy   0.288 eV/atom
Calculated total energy   -1.833 eV/atom

---

(20)
Compound: ZnNiCl2
Source: the Alexandria database
Functional: PBE
Structure: relaxed

a b c (Å): 9.413 9.413 9.413
angles (deg): 21.04 21.04 21.04
Site moments in Bohr magnetons follow the coordinates.
Atoms (fractional coordinates):
1 Cl 0.882 0.882 0.882  0.19
2 Ni 0.500 0.500 0.500  1.38
3 Zn 0.000 0.000 0.000  0.04
4 Cl 0.118 0.118 0.118  0.19

Results
Space group   R-3m, No. 166
Uncorrected formation energy   -0.239 eV/atom
Calculated total energy   -2.926 eV/atom